! CsSrAuBr2 (PBE, optimized geometry); values from VASP
&SYSTEM
  ibrav = 0, nat = 5, ntyp = 4
/
ATOMIC_SPECIES
Au 196.97 Au.upf
Sr 87.62 Sr.upf
Cs 132.91 Cs.upf
Br 79.90 Br.upf
CELL_PARAMETERS angstrom
5.9992 0.0000 0.0000
0.0000 5.9992 0.0000
0.0000 0.0000 6.1065
ATOMIC_POSITIONS crystal
Au 0.0000 0.0000 0.5000
Sr 0.0000 0.0000 0.0000
Cs 0.5000 0.5000 0.5000
Br 0.0000 0.5000 0.0000
Br 0.5000 0.0000 0.0000
! - Fermi-level density of states: 0.00 states/eV/f.u.
! - Formation energy without anion corrections: -1.405 eV per atom
! - Crystal system: tetragonal



! Cs2TaAuBr6 (PBE, optimized geometry); values from VASP
&SYSTEM
  ibrav = 0, nat = 10, ntyp = 4
/
ATOMIC_SPECIES
Cs 132.91 Cs.upf
Br 79.90 Br.upf
Au 196.97 Au.upf
Ta 180.95 Ta.upf
CELL_PARAMETERS angstrom
-7.4054 -1.1191 -3.6571
-0.6862 -7.4517 3.6698
-6.4603 -1.9996 4.1961
ATOMIC_POSITIONS crystal
Cs 0.2500 0.7500 0.5000
Br 0.2801 0.7199 0.0000
Br 0.7485 0.7485 0.5030
Br 0.2515 0.2515 0.4970
Au 0.0000 0.0000 0.0000
Br 0.2801 0.2801 0.0000
Br 0.7199 0.7199 0.0000
Br 0.7199 0.2801 0.0000
Ta 0.5000 0.5000 0.0000
Cs 0.7500 0.2500 0.5000
! - Fermi-level density of states: 9.51 states/eV/f.u.
! - Formation energy without anion corrections: -0.940 eV per atom
! - Crystal system: tetragonal



! Cs2TbAuBr6 (PBE, optimized geometry); values from VASP
&SYSTEM
  ibrav = 0, nat = 10, ntyp = 4
/
ATOMIC_SPECIES
Au 196.97 Au.upf
Br 79.90 Br.upf
Cs 132.91 Cs.upf
Tb 158.93 Tb.upf
CELL_PARAMETERS angstrom
-3.9232 -6.0489 3.6568
6.1678 -2.6497 4.4988
-0.5214 -0.5800 8.5572
ATOMIC_POSITIONS crystal
Au 0.5000 0.5000 0.0000
Br 0.2290 0.2290 0.5411
Br 0.2673 0.7343 0.0000
Br 0.7700 0.7687 0.0014
Br 0.2300 0.2313 0.9986
Cs 0.2499 0.7503 0.4998
Tb 0.0000 0.0000 0.0000
Br 0.7327 0.2657 0.0000
Cs 0.7501 0.2497 0.5002
Br 0.7710 0.7710 0.4589
! - Fermi-level density of states: 0.00 states/eV/f.u.
! - Formation energy without anion corrections: -1.465 eV per atom
! - Crystal system: triclinic



! Cs2TcAuBr6 (PBE, optimized geometry); values from VASP
&SYSTEM
  ibrav = 0, nat = 10, ntyp = 4
/
ATOMIC_SPECIES
Cs 132.91 Cs.upf
Br 79.90 Br.upf
Au 196.97 Au.upf
Tc 98.00 Tc.upf
CELL_PARAMETERS angstrom
-5.6459 -3.2429 -5.0344
5.9500 -2.2550 -5.2202
0.6043 -7.5691 -2.5296
ATOMIC_POSITIONS crystal
Cs 0.2500 0.7500 0.5000
Br 0.2827 0.2827 0.0000
Br 0.2827 0.7173 0.0000
Br 0.2252 0.2252 0.5495
Br 0.7748 0.7748 0.4505
Cs 0.7500 0.2500 0.5000
Br 0.7173 0.2827 0.0000
Br 0.7173 0.7173 0.0000
Au 0.0000 0.0000 0.0000
Tc 0.5000 0.5000 0.0000
! - Fermi-level density of states: 0.00 states/eV/f.u.
! - Formation energy without anion corrections: -0.848 eV per atom
! - Crystal system: tetragonal



! Cs2TeAuBr (PBE, optimized geometry); values from VASP
&SYSTEM
  ibrav = 0, nat = 5, ntyp = 4
/
ATOMIC_SPECIES
Br 79.90 Br.upf
Cs 132.91 Cs.upf
Te 127.60 Te.upf
Au 196.97 Au.upf
CELL_PARAMETERS angstrom
7.3606 0.0000 0.0000
0.0000 5.5759 0.0000
0.0000 0.0000 7.3606
ATOMIC_POSITIONS crystal
Br 0.0000 0.5000 0.0000
Cs 0.5000 0.0000 0.0000
Te 0.0000 0.0000 0.0000
Cs 0.0000 0.0000 0.5000
Au 0.5000 0.5000 0.5000
! - Fermi-level density of states: 2.57 states/eV/f.u.
! - Formation energy without anion corrections: -0.446 eV per atom
! - Crystal system: tetragonal



! CsTeAuBr2 (PBE, optimized geometry); values from VASP
&SYSTEM
  ibrav = 0, nat = 5, ntyp = 4
/
ATOMIC_SPECIES
Cs 132.91 Cs.upf
Te 127.60 Te.upf
Br 79.90 Br.upf
Au 196.97 Au.upf
CELL_PARAMETERS angstrom
-0.6777 2.0321 5.9638
-5.3240 -3.7293 0.6657
3.6107 -4.7902 2.0425
ATOMIC_POSITIONS crystal
Cs 0.0000 0.0000 0.0000
Te 0.0000 0.5000 0.0000
Br 0.5000 0.0000 0.0000
Br 0.0000 0.0000 0.5000
Au 0.5000 0.5000 0.5000
! - Fermi-level density of states: 7.52 states/eV/f.u.
! - Formation energy without anion corrections: 0.604 eV per atom
! - Crystal system: tetragonal



! Cs6TeAu2Br3 (PBE, optimized geometry); values from VASP
&SYSTEM
  ibrav = 0, nat = 12, ntyp = 4
/
ATOMIC_SPECIES
Cs 132.91 Cs.upf
Br 79.90 Br.upf
Au 196.97 Au.upf
Te 127.60 Te.upf
CELL_PARAMETERS angstrom
5.1697 0.0000 0.0000
0.0000 10.8250 0.2858
-2.5848 -3.2248 11.1616
ATOMIC_POSITIONS crystal
Cs 0.9986 0.2662 0.9972
Cs 0.6670 0.5835 0.3341
Br 0.1667 0.8293 0.3333
Br 0.8333 0.1707 0.6667
Cs 0.6713 0.0813 0.3427
Cs 0.0014 0.7338 0.0028
Au 0.1665 0.3324 0.3331
Cs 0.3330 0.4165 0.6659
Br 0.5000 0.5000 0.0000
Au 0.8335 0.6676 0.6669
Cs 0.3287 0.9187 0.6573
Te 0.5000 0.0000 0.0000
! - Fermi-level density of states: 8.33 states/eV/f.u.
! - Formation energy without anion corrections: -1.062 eV per atom
! - Crystal system: monoclinic



! CsTeAuBr6 (PBE, optimized geometry); values from VASP
&SYSTEM
  ibrav = 0, nat = 9, ntyp = 4
/
ATOMIC_SPECIES
Br 79.90 Br.upf
Cs 132.91 Cs.upf
Au 196.97 Au.upf
Te 127.60 Te.upf
CELL_PARAMETERS angstrom
0.1628 5.4351 -4.5566
0.7113 -0.3071 -9.3362
-7.2895 0.6782 2.1502
ATOMIC_POSITIONS crystal
Br 0.6574 0.0348 0.2350
Br 0.2279 0.0638 0.5516
Br 0.6020 0.2671 0.7941
Cs 0.2289 0.9023 0.9860
Au 0.6084 0.7459 0.4013
Br 0.4215 0.5530 0.4777
Te 0.3212 0.3437 0.5286
Br 0.9435 0.6533 0.7951
Br 0.9890 0.4362 0.2304
! - Fermi-level density of states: 0.00 states/eV/f.u.
! - Formation energy without anion corrections: -0.635 eV per atom
! - Crystal system: triclinic



- Among the records above, which one has the highest Fermi-level density of states?
  Cs2TaAuBr6